# 1
AlV2CuH | PBE | optimized geometry

abc: 3.644 3.644 4.193
angles: 90.00 90.00 90.00
Space group P4/mmm (No. 123)
One atom of each set of equivalent atoms:
Al 0.000 0.000 0.000 [1 per cell]
V 0.000 0.500 0.500 [2 per cell]
Cu 0.500 0.500 0.000 [1 per cell]
H 0.500 0.500 0.500 [1 per cell]

Computed properties:
E above lowest polymorph, eV per formula unit: 0.00
Raw total energy, eV per formula unit: -30.21

# 2
AlZn2CuH | PBE | optimized geometry

abc: 4.619 4.619 4.566
angles: 90.00 90.00 90.00
Space group P4/mmm (No. 123)
One atom of each set of equivalent atoms:
Al 0.000 0.000 0.000 [1 per cell]
Zn 0.000 0.500 0.500 [2 per cell]
Cu 0.000 0.000 0.500 [1 per cell]
H 0.500 0.500 0.000 [1 per cell]

Computed properties:
Raw total energy, eV per formula unit: -10.68

# 3
Hf7Al2Cu2 | PBE | optimized geometry

abc: 7.183 9.839 6.548
angles: 90.00 90.00 90.00
Space group Cmmm (No. 65)
One atom of each set of equivalent atoms:
Hf 0.000 0.000 0.000 [2 per cell]
Hf 0.000 0.500 0.259 [4 per cell]
Hf 0.250 0.250 0.274 [8 per cell]
Al 0.174 0.000 0.500 [4 per cell]
Cu 0.000 0.285 0.000 [4 per cell]

Computed properties:
Formation energy from the elements, meV/atom: 237
Raw total energy, eV per formula unit: -82.74